Material: LaRu2W
Method: DFT, PBE-GGA
State: optimized geometry

Lattice parameters (Å, degrees): 2.8808 2.8808 9.3297 90.00 90.00 113.33
Closest atoms and distances in Å follow each position.
Fractional positions:
La: 0.0000 0.0000 0.0000  2 Ru 2.87, 6 La 2.88-3.17, 2 W 3.19
Ru: 0.0000 0.0000 0.4873  2 W 2.56, 2 Ru 2.67
Ru: 0.5000 0.5000 0.2566  6 Ru 2.67-2.88, 2 La 2.87
W: 0.5000 0.5000 0.7026  2 Ru 2.56

Values from the calculation:
Magnetic moment in μB/atom: 0.00
E_form in eV/atom: 0.636


Material: Nb3CrRu
Method: DFT, PBE-GGA
State: optimized geometry

Lattice parameters (Å, degrees): 4.5337 4.5337 4.5337 90.00 90.00 90.00
Closest atoms and distances in Å follow each position.
Fractional positions:
Nb: 0.0000 0.0000 0.5000  2 Cr 2.27
Nb: 0.0000 0.5000 0.0000  2 Cr 2.27
Nb: 0.5000 0.0000 0.0000  2 Cr 2.27
Cr: 0.0000 0.0000 0.0000  6 Nb 2.27
Ru: 0.5000 0.5000 0.5000  12 Nb 3.21

Values from the calculation:
Energy above the lowest structure with this stoichiometry in eV/atom: 0.000
Magnetic moment in μB/atom: 0.00
E_form in eV/atom: 1.022